# 1
A geometry-optimized SrTcPt structure, computed with GGA-PBE.

a = 3.0885 Å, b = 3.0885 Å, c = 7.2963 Å
α = 90.00°, β = 90.00°, γ = 120.00°
Fractional coordinates of all 3 atoms:
Sr  0.0000  0.0000  0.0000
Tc  0.6667  0.3333  0.3633
Pt  0.3333  0.6667  0.6375

Computed properties:
As for the energy above the most stable polymorph in this dataset: 569 meV/atom. As for the calculated density: 10.49 g/cm³. The value obtained for the energy of formation from the pure elements is 0.713 eV/atom. The space-group type is No. 156. As for the density of states at the Fermi level: 5.5 states/eV/f.u. The calculation puts the raw total energy at -5.32 eV per atom. Its crystal system is trigonal.

=====

# 2
A geometry-optimized SrTc2Pt structure, computed with GGA-PBE.

a = 6.4233 Å, b = 6.4233 Å, c = 6.4233 Å
α = 38.57°, β = 38.57°, γ = 38.57°
Fractional coordinates of all 4 atoms:
Sr  0.0000  0.0000  0.0000
Tc  0.4799  0.4799  0.4799
Tc  0.8094  0.8094  0.8094
Pt  0.2143  0.2143  0.2143

Computed properties:
As for the energy above the most stable polymorph in this dataset: 0 meV/atom. As for the calculated density: 8.59 g/cm³. The value obtained for the energy of formation from the pure elements is 0.147 eV/atom. The space-group type is No. 160. As for the density of states at the Fermi level: 6.2 states/eV/f.u. The calculation puts the raw total energy at -6.97 eV per atom. Its crystal system is trigonal.

=====

# 3
A geometry-optimized SrTc2Pt structure, computed with GGA-PBE.

a = 2.7928 Å, b = 2.7928 Å, c = 9.2830 Å
α = 90.00°, β = 90.00°, γ = 90.00°
Fractional coordinates of all 4 atoms:
Sr  0.0000  0.0000  0.0000
Tc  0.5000  0.5000  0.2883
Tc  0.5000  0.5000  0.7117
Pt  0.0000  0.0000  0.5000

Computed properties:
As for the energy above the most stable polymorph in this dataset: 440 meV/atom. As for the calculated density: 10.98 g/cm³. The value obtained for the energy of formation from the pure elements is 0.586 eV/atom. The space-group type is No. 123. As for the density of states at the Fermi level: 4.7 states/eV/f.u. The calculation puts the raw total energy at -6.53 eV per atom. Its crystal system is tetragonal.

=====

# 4
A geometry-optimized SrTcPt2 structure, computed with GGA-PBE.

a = 9.9096 Å, b = 9.9096 Å, c = 9.9096 Å
α = 16.92°, β = 16.92°, γ = 16.92°
Fractional coordinates of all 4 atoms:
Sr  0.0000  0.0000  0.0000
Tc  0.5000  0.5000  0.5000
Pt  0.2410  0.2410  0.2410
Pt  0.7590  0.7590  0.7590

Computed properties:
As for the energy above the most stable polymorph in this dataset: 469 meV/atom. As for the calculated density: 13.29 g/cm³. The value obtained for the energy of formation from the pure elements is 0.335 eV/atom. The space-group type is No. 166. As for the density of states at the Fermi level: 5.1 states/eV/f.u. The calculation puts the raw total energy at -5.70 eV per atom. Its crystal system is trigonal.

=====

# 5
A geometry-optimized SrTc3Pt structure, computed with GGA-PBE.

a = 4.6588 Å, b = 4.6588 Å, c = 4.6588 Å
α = 90.00°, β = 90.00°, γ = 90.00°
Fractional coordinates of all 5 atoms:
Sr  0.0000  0.0000  0.0000
Tc  0.0000  0.0000  0.5000
Tc  0.0000  0.5000  0.0000
Tc  0.5000  0.0000  0.0000
Pt  0.5000  0.5000  0.5000

Computed properties:
As for the energy above the most stable polymorph in this dataset: 1532 meV/atom. As for the calculated density: 9.47 g/cm³. The value obtained for the energy of formation from the pure elements is 2.958 eV/atom. The space-group type is No. 221. As for the density of states at the Fermi level: 6.6 states/eV/f.u. The calculation puts the raw total energy at -4.81 eV per atom. Its crystal system is cubic.

=====

# 6
A geometry-optimized SrTc2Pt structure, computed with GGA-PBE.

a = 3.1019 Å, b = 3.1019 Å, c = 7.9530 Å
α = 90.00°, β = 90.00°, γ = 90.00°
Fractional coordinates of all 4 atoms:
Sr  0.0000  0.0000  0.0000
Tc  0.0000  0.0000  0.4810
Tc  0.5000  0.5000  0.3196
Pt  0.5000  0.5000  0.7107

Computed properties:
As for the energy above the most stable polymorph in this dataset: 25 meV/atom. As for the calculated density: 10.39 g/cm³. The value obtained for the energy of formation from the pure elements is 0.172 eV/atom. The space-group type is No. 99. As for the density of states at the Fermi level: 4.1 states/eV/f.u. The calculation puts the raw total energy at -6.94 eV per atom. Its crystal system is tetragonal.

=====

# 7
A geometry-optimized SrTc2Pt structure, computed with GGA-PBE.

a = 10.1932 Å, b = 10.1932 Å, c = 10.1932 Å
α = 16.16°, β = 16.16°, γ = 16.16°
Fractional coordinates of all 4 atoms:
Sr  0.0000  0.0000  0.0000
Tc  0.2393  0.2393  0.2393
Tc  0.7607  0.7607  0.7607
Pt  0.5000  0.5000  0.5000

Computed properties:
As for the energy above the most stable polymorph in this dataset: 647 meV/atom. As for the calculated density: 11.12 g/cm³. The value obtained for the energy of formation from the pure elements is 0.794 eV/atom. The space-group type is No. 166. As for the density of states at the Fermi level: 5.6 states/eV/f.u. The calculation puts the raw total energy at -6.32 eV per atom. Its crystal system is trigonal.

=====

# 8
A geometry-optimized SrTc2Pt structure, computed with GGA-PBE.

a = 6.1497 Å, b = 6.1497 Å, c = 6.1497 Å
α = 153.38°, β = 133.48°, γ = 54.40°
Fractional coordinates of all 4 atoms:
Sr  0.0000  0.0000  0.0000
Tc  0.2836  0.7836  0.5000
Tc  0.7164  0.2164  0.5000
Pt  0.5000  0.5000  0.0000

Computed properties:
As for the energy above the most stable polymorph in this dataset: 249 meV/atom. As for the calculated density: 10.57 g/cm³. The value obtained for the energy of formation from the pure elements is 0.396 eV/atom. The space-group type is No. 71. As for the density of states at the Fermi level: 3.5 states/eV/f.u. The calculation puts the raw total energy at -6.72 eV per atom. Its crystal system is orthorhombic.

=====

# 9
A geometry-optimized SrTcPt2 structure, computed with GGA-PBE.

a = 3.2880 Å, b = 3.2880 Å, c = 7.4113 Å
α = 90.00°, β = 90.00°, γ = 90.00°
Fractional coordinates of all 4 atoms:
Sr  0.0000  0.0000  0.0000
Tc  0.5000  0.5000  0.3320
Pt  0.0000  0.0000  0.4946
Pt  0.5000  0.5000  0.7088

Computed properties:
As for the energy above the most stable polymorph in this dataset: 303 meV/atom. As for the calculated density: 11.93 g/cm³. The value obtained for the energy of formation from the pure elements is 0.169 eV/atom. The space-group type is No. 99. As for the density of states at the Fermi level: 4.9 states/eV/f.u. The calculation puts the raw total energy at -5.86 eV per atom. Its crystal system is tetragonal.

=====

# 10
A geometry-optimized SrTcPt2 structure, computed with GGA-PBE.

a = 4.5161 Å, b = 4.5161 Å, c = 6.6918 Å
α = 96.78°, β = 96.78°, γ = 36.85°
Fractional coordinates of all 4 atoms:
Sr  0.0000  0.0000  0.0000
Tc  0.5000  0.5000  0.5000
Pt  0.2464  0.2464  0.6813
Pt  0.7536  0.7536  0.3187

Computed properties:
As for the energy above the most stable polymorph in this dataset: 198 meV/atom. As for the calculated density: 11.77 g/cm³. The value obtained for the energy of formation from the pure elements is 0.064 eV/atom. The space-group type is No. 12. As for the density of states at the Fermi level: 4.5 states/eV/f.u. The calculation puts the raw total energy at -5.97 eV per atom. Its crystal system is monoclinic.

=====

# 11
A geometry-optimized SrTcPt structure, computed with GGA-PBE.

a = 4.7839 Å, b = 4.7839 Å, c = 4.7839 Å
α = 60.00°, β = 60.00°, γ = 60.00°
Fractional coordinates of all 3 atoms:
Sr  0.0000  0.0000  0.0000
Tc  0.5000  0.5000  0.5000
Pt  0.7500  0.7500  0.7500

Computed properties:
As for the energy above the most stable polymorph in this dataset: 427 meV/atom. As for the calculated density: 8.17 g/cm³. The value obtained for the energy of formation from the pure elements is 0.571 eV/atom. The space-group type is No. 216. As for the density of states at the Fermi level: 3.6 states/eV/f.u. The calculation puts the raw total energy at -5.46 eV per atom. Its crystal system is cubic.

=====

# 12
A geometry-optimized Sr2TlTcPt structure, computed with GGA-PBE.

a = 5.7879 Å, b = 5.7879 Å, c = 4.7592 Å
α = 90.00°, β = 90.00°, γ = 90.00°
Fractional coordinates of all 5 atoms:
Sr  0.0000  0.5000  0.0000
Sr  0.5000  0.0000  0.0000
Tl  0.0000  0.0000  0.5000
Tc  0.5000  0.5000  0.0000
Pt  0.5000  0.5000  0.5000

Computed properties:
As for the calculated density: 7.01 g/cm³. The value obtained for the energy of formation from the pure elements is 0.328 eV/atom. The space-group type is No. 123. As for the density of states at the Fermi level: 4.5 states/eV/f.u. The calculation puts the raw total energy at -4.10 eV per atom. Its crystal system is tetragonal.

=====

# 13
A geometry-optimized SrTePt structure, computed with GGA-PBE.

a = 5.6404 Å, b = 4.4456 Å, c = 6.9029 Å
α = 90.00°, β = 90.00°, γ = 90.00°
Fractional coordinates of all 6 atoms:
Sr  0.2500  0.0000  0.2411
Sr  0.7500  0.0000  0.7589
Te  0.2500  0.5000  0.8221
Te  0.7500  0.5000  0.1779
Pt  0.0000  0.5000  0.5000
Pt  0.5000  0.5000  0.5000

Computed properties:
As for the energy above the most stable polymorph in this dataset: 17 meV/atom. The calculation puts the raw formation energy at -1.08 eV per atom. As for the calculated density: 7.87 g/cm³. The space-group type is No. 51. As for the density of states at the Fermi level: 0.4 states/eV/f.u. The calculation puts the raw total energy at -4.70 eV per atom. Its crystal system is orthorhombic.

=====

# 14
A geometry-optimized SrTe2Pt structure, computed with GGA-PBE.

a = 4.1345 Å, b = 4.1345 Å, c = 6.7337 Å
α = 90.00°, β = 90.00°, γ = 90.00°
Fractional coordinates of all 4 atoms:
Sr  0.0000  0.0000  0.0000
Te  0.0000  0.0000  0.5303
Te  0.5000  0.5000  0.1794
Pt  0.5000  0.5000  0.5788

Computed properties:
As for the energy above the most stable polymorph in this dataset: 326 meV/atom. The calculation puts the raw formation energy at -0.61 eV per atom. As for the calculated density: 7.76 g/cm³. The space-group type is No. 99. As for the density of states at the Fermi level: 2.7 states/eV/f.u. The calculation puts the raw total energy at -4.11 eV per atom. Its crystal system is tetragonal.

=====

# 15
A geometry-optimized SrTePt structure, computed with GGA-PBE.

a = 4.5250 Å, b = 4.5250 Å, c = 8.6497 Å
α = 105.05°, β = 105.05°, γ = 90.00°
Fractional coordinates of all 6 atoms:
Sr  0.1242  0.8758  0.5000
Sr  0.8758  0.1242  0.0000
Te  0.2927  0.5379  0.8286
Te  0.5379  0.2927  0.3286
Pt  0.4551  0.7093  0.1591
Pt  0.7093  0.4551  0.6591

Computed properties:
As for the energy above the most stable polymorph in this dataset: 33 meV/atom. The calculation puts the raw formation energy at -1.07 eV per atom. As for the calculated density: 8.27 g/cm³. The space-group type is No. 9. As for the density of states at the Fermi level: 1.0 states/eV/f.u. The calculation puts the raw total energy at -4.69 eV per atom. Its crystal system is monoclinic.

=====

# 16
A geometry-optimized SrTePt structure, computed with GGA-PBE.

a = 6.1962 Å, b = 5.9127 Å, c = 4.0068 Å
α = 74.55°, β = 66.89°, γ = 38.56°
Fractional coordinates of all 3 atoms:
Sr  0.0000  0.0000  0.0000
Te  0.2944  0.2944  0.7056
Pt  0.7055  0.7055  0.2945

Computed properties:
As for the energy above the most stable polymorph in this dataset: 551 meV/atom. The calculation puts the raw formation energy at -0.55 eV per atom. As for the calculated density: 8.12 g/cm³. The space-group type is No. 42. As for the density of states at the Fermi level: 2.0 states/eV/f.u. The calculation puts the raw total energy at -4.17 eV per atom. Its crystal system is orthorhombic.

=====

# 17
A geometry-optimized Sr3TePt structure, computed with GGA-PBE.

a = 5.8278 Å, b = 5.8278 Å, c = 5.8278 Å
α = 90.00°, β = 90.00°, γ = 90.00°
Fractional coordinates of all 5 atoms:
Sr  0.0000  0.0000  0.5000
Sr  0.0000  0.5000  0.0000
Sr  0.5000  0.0000  0.0000
Te  0.5000  0.5000  0.5000
Pt  0.0000  0.0000  0.0000

Computed properties:
As for the energy above the most stable polymorph in this dataset: 0 meV/atom. The calculation puts the raw formation energy at -0.79 eV per atom. As for the calculated density: 4.91 g/cm³. The space-group type is No. 221. As for the density of states at the Fermi level: 6.5 states/eV/f.u. The calculation puts the raw total energy at -3.63 eV per atom. Its crystal system is cubic.

=====

# 18
A geometry-optimized SrTePt structure, computed with GGA-PBE.

a = 5.5170 Å, b = 5.5170 Å, c = 10.0432 Å
α = 90.00°, β = 90.00°, γ = 120.00°
Fractional coordinates of all 6 atoms:
Sr  0.3333  0.6667  0.2500
Sr  0.6667  0.3333  0.7500
Te  0.0000  0.0000  0.2500
Te  0.0000  0.0000  0.7500
Pt  0.0000  0.0000  0.0000
Pt  0.0000  0.0000  0.5000

Computed properties:
As for the energy above the most stable polymorph in this dataset: 628 meV/atom. The calculation puts the raw formation energy at -0.47 eV per atom. As for the calculated density: 5.15 g/cm³. The space-group type is No. 194. As for the density of states at the Fermi level: 0.3 states/eV/f.u. The calculation puts the raw total energy at -4.09 eV per atom. Its crystal system is hexagonal.

=====

# 19
A geometry-optimized SrTePt structure, computed with GGA-PBE.

a = 5.1149 Å, b = 5.1149 Å, c = 5.1149 Å
α = 60.00°, β = 60.00°, γ = 60.00°
Fractional coordinates of all 3 atoms:
Sr  0.0000  0.0000  0.0000
Te  0.7500  0.7500  0.7500
Pt  0.2500  0.2500  0.2500

Computed properties:
As for the energy above the most stable polymorph in this dataset: 889 meV/atom. The calculation puts the raw formation energy at -0.21 eV per atom. As for the calculated density: 7.20 g/cm³. The space-group type is No. 216. As for the density of states at the Fermi level: 3.2 states/eV/f.u. The calculation puts the raw total energy at -3.83 eV per atom. Its crystal system is cubic.

=====

# 20
A geometry-optimized SrTe2Pt structure, computed with GGA-PBE.

a = 4.4166 Å, b = 4.4166 Å, c = 7.8487 Å
α = 90.00°, β = 90.00°, γ = 122.67°
Fractional coordinates of all 4 atoms:
Sr  0.0000  0.0000  0.0000
Te  0.5000  0.5000  0.2939
Te  0.5000  0.5000  0.7061
Pt  0.0000  0.0000  0.5000

Computed properties:
As for the energy above the most stable polymorph in this dataset: 388 meV/atom. The calculation puts the raw formation energy at -0.54 eV per atom. As for the calculated density: 6.93 g/cm³. The space-group type is No. 65. As for the density of states at the Fermi level: 0.9 states/eV/f.u. The calculation puts the raw total energy at -4.05 eV per atom. Its crystal system is orthorhombic.